Entry 1:
A relaxed structure of Ac2AgPd6Pb3. Source: Alexandria, functional PBE.

Cell lengths 4.2742, 4.2742, 17.4460 Å; angles 90.00, 90.00, 90.00 degrees
Closest atoms and distances in Å follow each position.
Space group P4/mmm (No. 123)
Symmetry-distinct sites (fractional):
Ac: 0.0000 0.0000 0.1914  4 Pd 3.10
Ag: 0.0000 0.0000 0.5000  8 Pd 2.72
Pd: 0.0000 0.5000 0.4034  2 Pb 2.68, 2 Ag 2.72
Pd: 0.5000 0.5000 0.1518  2 Pb 2.65-2.77
Pb: 0.5000 0.5000 0.0000  2 Pd 2.65
Pb: 0.5000 0.5000 0.3104  5 Pd 2.68-2.77

Volume in Å³ per cell: 318.7
ΔE_f in eV/atom: -0.2086

=====

Entry 2:
A relaxed structure of AcAgPd3Pb. Source: Alexandria, functional PBE.

Cell lengths 6.0008, 12.6454, 7.3417 Å; angles 90.00, 90.00, 90.00 degrees
Closest atoms and distances in Å follow each position.
Space group Cmcm (No. 63)
Symmetry-distinct sites (fractional):
Ac: 0.0000 0.1620 0.2500  6 Pd 3.01-3.10, 1 Ag 3.07
Ag: 0.0000 0.4045 0.2500  5 Pd 2.70-2.96
Pd: 0.0000 0.3610 0.7500  1 Pb 2.83, 1 Ag 2.96, 4 Pd 2.98, 2 Ac 3.01
Pd: 0.2397 0.0000 0.0000  2 Ag 2.70, 3 Pd 2.88-2.98, 2 Pb 2.91
Pb: 0.0000 0.1374 0.7500  5 Pd 2.83-2.91, 2 Ag 3.05

Volume in Å³ per cell: 557.1
ΔE_f in eV/atom: -0.3596

=====

Entry 3:
A relaxed structure of AcPr2Ag2Pb2. Source: Alexandria, functional PBE.

Cell lengths 5.0678, 5.0678, 28.0043 Å; angles 90.00, 90.00, 120.00 degrees
Closest atoms and distances in Å follow each position.
Space group R-3m (No. 166, hexagonal axes)
Symmetry-distinct sites (fractional):
Ac: 0.0000 0.0000 0.0000  6 Pb 3.52, 2 Pr 3.83
Pr: 0.0000 0.0000 0.1367  3 Ag 3.04, 3 Pr 3.37
Ag: 0.0000 0.0000 0.4404  3 Pr 3.04, 3 Pb 3.10, 1 Ag 3.34
Pb: 0.0000 0.0000 0.2633  3 Ag 3.10, 3 Pr 3.47

Volume in Å³ per cell: 622.9
ΔE_f in eV/atom: -0.3274

=====

Entry 4:
A relaxed structure of AcPrAgPb. Source: Alexandria, functional PBE.

Cell lengths 7.9550, 7.9550, 7.9550 Å; angles 90.00, 90.00, 90.00 degrees
Closest atoms and distances in Å follow each position.
Space group F-43m (No. 216)
Symmetry-distinct sites (fractional):
Ac: 0.0000 0.0000 0.0000  4 Pb 3.44, 4 Ag 3.44
Pr: 0.0000 0.0000 0.5000  4 Pb 3.44, 4 Ag 3.44
Ag: 0.2500 0.2500 0.7500  4 Ac 3.44, 4 Pr 3.44
Pb: 0.2500 0.2500 0.2500  4 Ac 3.44, 4 Pr 3.44

Volume in Å³ per cell: 503.4
ΔE_f in eV/atom: -0.3884

=====

Entry 5:
A relaxed structure of Ac2AgPtPb. Source: Alexandria, functional PBE.

Cell lengths 7.9898, 4.7493, 8.2854 Å; angles 90.00, 108.62, 90.00 degrees
Closest atoms and distances in Å follow each position.
Space group P2_1/m (No. 11)
Symmetry-distinct sites (fractional):
Ac: 0.1333 0.2500 0.3386  3 Pt 3.16-3.39, 2 Ag 3.47, 2 Pb 3.51
Ac: 0.2923 0.2500 0.9609  3 Pt 3.08-3.13
Ag: 0.4459 0.7500 0.3280  1 Pt 2.84, 2 Pb 3.00
Pt: 0.1052 0.7500 0.0805  1 Ag 2.84, 2 Pt 2.97, 5 Ac 3.08-3.16
Pb: 0.3209 0.7500 0.6579  3 Ag 3.00-3.20

Volume in Å³ per cell: 297.9
ΔE_f in eV/atom: -0.6672

=====

Entry 6:
A relaxed structure of Ac2AgRhPb. Source: Alexandria, functional PBE.

Cell lengths 8.3958, 4.3484, 8.6506 Å; angles 90.00, 110.68, 90.00 degrees
Closest atoms and distances in Å follow each position.
Space group P2_1/m (No. 11)
Symmetry-distinct sites (fractional):
Ac: 0.1184 0.2500 0.3431  2 Rh 3.04
Ac: 0.2858 0.2500 0.9864  3 Rh 2.99-3.09
Ag: 0.4368 0.7500 0.3449  1 Rh 2.88, 2 Pb 3.02
Rh: 0.1033 0.7500 0.0930  1 Ag 2.88, 2 Rh 2.89, 5 Ac 2.99-3.09
Pb: 0.3205 0.7500 0.6723  3 Ag 3.02-3.31

Volume in Å³ per cell: 295.5
ΔE_f in eV/atom: -0.4876

=====

Entry 7:
A relaxed structure of AcAgPbS3. Source: Alexandria, functional PBE.

Cell lengths 8.7118, 4.1235, 9.0843 Å; angles 90.00, 100.61, 90.00 degrees
Closest atoms and distances in Å follow each position.
Space group P2_1/m (No. 11)
Symmetry-distinct sites (fractional):
Ac: 0.1691 0.2500 0.2191  7 S 3.05-3.10
Ag: 0.0995 0.2500 0.5864  4 S 2.60-2.75
Pb: 0.3463 0.7500 0.8324  5 S 2.82-3.08
S: 0.0947 0.2500 0.8717  1 Ag 2.60
S: 0.2221 0.7500 0.4727  3 Ag 2.62-2.75
S: 0.4034 0.7500 0.1481  3 Pb 2.82-2.98, 2 Ac 3.05

Formation energy (no corrections) in eV per atom: -1.079
Volume in Å³ per cell: 320.8

=====

Entry 8:
A relaxed structure of AcAgPb2S4. Source: Alexandria, functional PBE.

Cell lengths 4.1715, 13.8822, 14.5105 Å; angles 90.00, 90.00, 90.00 degrees
Closest atoms and distances in Å follow each position.
Space group Cmcm (No. 63)
Symmetry-distinct sites (fractional):
Ac: 0.0000 0.1179 0.2500  6 S 3.00-3.06
Ag: 0.0000 0.1473 0.7500  4 S 2.58-2.61
Pb: 0.0000 0.3703 0.0547  6 S 2.87-3.18
S: 0.0000 0.0000 0.0000  4 Pb 2.87
S: 0.0000 0.2849 0.6271  1 Ag 2.61, 1 Pb 2.89
S: 0.0000 0.4624 0.2500  2 Ag 2.58

Formation energy (no corrections) in eV per atom: -0.928
Volume in Å³ per cell: 840.3

=====

Entry 9:
A relaxed structure of Ac2AgPbS5. Source: Alexandria, functional PBE.

Cell lengths 4.3029, 17.8179, 12.0189 Å; angles 90.00, 90.00, 90.00 degrees
Closest atoms and distances in Å follow each position.
Space group Cmc2_1 (No. 36)
Symmetry-distinct sites (fractional):
Ac: 0.0000 0.1243 0.0000  8 S 3.08-3.19
Ac: 0.0000 0.1261 0.3795  8 S 3.04-3.23
Ag: 0.0000 0.2363 0.7459  3 S 2.48-2.59
Pb: 0.0000 0.4183 0.1742  5 S 2.67-2.96
S: 0.0000 0.0317 0.7831  2 Pb 2.67
S: 0.0000 0.3005 0.0262  1 Pb 2.75, 2 Ac 3.07
S: 0.0000 0.3027 0.3514  2 Ag 2.59
S: 0.0000 0.3699 0.6891  1 Ag 2.48
S: 0.0000 0.4929 0.9749  1 Pb 2.74

Formation energy (no corrections) in eV per atom: -1.246
Volume in Å³ per cell: 921.5

=====

Entry 10:
A relaxed structure of Ac2ScAg3Pb4. Source: Alexandria, functional PBE.

Cell lengths 4.7750, 4.7750, 12.4464 Å; angles 90.00, 90.00, 90.00 degrees
Closest atoms and distances in Å follow each position.
Space group P-4m2 (No. 115)
Symmetry-distinct sites (fractional):
Ac: 0.0000 0.5000 0.2422  6 Ag 3.61-4.00, 8 Pb 3.69-3.85, 2 Sc 4.00
Sc: 0.0000 0.0000 0.5000  4 Pb 2.94
Ag: 0.0000 0.5000 0.8610  5 Pb 2.77-2.95
Ag: 0.5000 0.5000 0.5000  4 Pb 2.94
Pb: 0.0000 0.0000 0.0000  4 Ag 2.95
Pb: 0.0000 0.5000 0.6382  3 Ag 2.77-2.94, 2 Sc 2.94
Pb: 0.5000 0.5000 0.0000  4 Ag 2.95

Volume in Å³ per cell: 283.8
ΔE_f in eV/atom: -0.3219

=====

Entry 11:
A relaxed structure of AcScAgPb. Source: Alexandria, functional PBE.

Cell lengths 7.6873, 7.6873, 7.6873 Å; angles 90.00, 90.00, 90.00 degrees
Closest atoms and distances in Å follow each position.
Space group F-43m (No. 216)
Symmetry-distinct sites (fractional):
Ac: 0.0000 0.0000 0.0000  4 Pb 3.33, 4 Ag 3.33
Sc: 0.0000 0.0000 0.5000  4 Pb 3.33, 4 Ag 3.33
Ag: 0.2500 0.2500 0.2500  4 Ac 3.33, 4 Sc 3.33
Pb: 0.2500 0.2500 0.7500  4 Ac 3.33, 4 Sc 3.33

Volume in Å³ per cell: 454.3
ΔE_f in eV/atom: -0.2677

=====

Entry 12:
A relaxed structure of AcAgPb2Se4. Source: Alexandria, functional PBE.

Cell lengths 4.3311, 14.3633, 15.0501 Å; angles 90.00, 90.00, 90.00 degrees
Closest atoms and distances in Å follow each position.
Space group Cmcm (No. 63)
Symmetry-distinct sites (fractional):
Ac: 0.0000 0.1202 0.2500  6 Se 3.13-3.18
Ag: 0.0000 0.1475 0.7500  4 Se 2.69-2.72
Pb: 0.0000 0.3707 0.0579  6 Se 2.98-3.26
Se: 0.0000 0.0000 0.0000  4 Pb 2.98
Se: 0.0000 0.2838 0.6249  1 Ag 2.72, 1 Pb 3.02
Se: 0.0000 0.4632 0.2500  2 Ag 2.69

Formation energy (no corrections) in eV per atom: -0.898
Volume in Å³ per cell: 936.3

=====

Entry 13:
A relaxed structure of Ac2Ag3Sn4Pb. Source: Alexandria, functional PBE.

Cell lengths 4.7343, 4.7343, 12.5072 Å; angles 90.00, 90.00, 90.00 degrees
Closest atoms and distances in Å follow each position.
Space group P-4m2 (No. 115)
Symmetry-distinct sites (fractional):
Ac: 0.0000 0.5000 0.2345  4 Ag 3.61, 8 Sn 3.62-3.77
Ag: 0.0000 0.5000 0.8726  5 Sn 2.71-2.85
Ag: 0.5000 0.5000 0.5000  4 Sn 3.07, 4 Pb 3.35
Sn: 0.0000 0.0000 0.0000  4 Ag 2.85
Sn: 0.0000 0.5000 0.6558  1 Ag 2.71
Sn: 0.5000 0.5000 0.0000  4 Ag 2.85
Pb: 0.0000 0.0000 0.5000  4 Sn 3.07, 4 Ag 3.35

Volume in Å³ per cell: 280.3
ΔE_f in eV/atom: -0.3278

=====

Entry 14:
A relaxed structure of Sr2AcAg2Pb2. Source: Alexandria, functional PBE.

Cell lengths 5.0677, 5.0677, 31.2325 Å; angles 90.00, 90.00, 120.00 degrees
Closest atoms and distances in Å follow each position.
Space group R-3m (No. 166, hexagonal axes)
Symmetry-distinct sites (fractional):
Sr: 0.0000 0.0000 0.1249  3 Pb 3.37, 3 Ag 3.51
Ac: 0.0000 0.0000 0.0000  6 Ag 3.52, 6 Pb 3.68, 2 Sr 3.90
Ag: 0.0000 0.0000 0.3961  3 Pb 2.94
Pb: 0.0000 0.0000 0.2620  3 Ag 2.94

Volume in Å³ per cell: 694.6
ΔE_f in eV/atom: -0.3572

=====

Entry 15:
A relaxed structure of AcAgTe4Pb2. Source: Alexandria, functional PBE.

Cell lengths 4.5787, 15.1248, 15.9872 Å; angles 90.00, 90.00, 90.00 degrees
Closest atoms and distances in Å follow each position.
Space group Cmcm (No. 63)
Symmetry-distinct sites (fractional):
Ac: 0.0000 0.1223 0.2500  6 Te 3.35-3.39
Ag: 0.0000 0.1504 0.7500  4 Te 2.84-2.86
Te: 0.0000 0.0000 0.0000  4 Pb 3.17
Te: 0.0000 0.2824 0.6219  1 Ag 2.86
Te: 0.0000 0.4609 0.2500  2 Ag 2.84
Pb: 0.0000 0.3705 0.0622  6 Te 3.17-3.39

Formation energy (no corrections) in eV per atom: -0.678
Volume in Å³ per cell: 1107.1

=====

Entry 16:
A relaxed structure of AcAgTe3Pb. Source: Alexandria, functional PBE.

Cell lengths 9.4500, 4.5070, 9.9824 Å; angles 90.00, 100.89, 90.00 degrees
Closest atoms and distances in Å follow each position.
Space group P2_1/m (No. 11)
Symmetry-distinct sites (fractional):
Ac: 0.1682 0.2500 0.2357  7 Te 3.38-3.55, 1 Ag 3.67
Ag: 0.0773 0.2500 0.5776  4 Te 2.91-2.92, 2 Ag 2.96
Te: 0.0966 0.2500 0.8731  1 Ag 2.92
Te: 0.2369 0.7500 0.4971  3 Ag 2.91-2.92
Te: 0.4094 0.7500 0.1626  3 Pb 3.15-3.26, 2 Ac 3.38
Pb: 0.3420 0.7500 0.8409  6 Te 3.15-3.39

Formation energy (no corrections) in eV per atom: -0.823
Volume in Å³ per cell: 417.5

=====

Entry 17:
A relaxed structure of AcTlAgPb. Source: Alexandria, functional PBE.

Cell lengths 7.7815, 7.7815, 7.7815 Å; angles 90.00, 90.00, 90.00 degrees
Closest atoms and distances in Å follow each position.
Space group F-43m (No. 216)
Symmetry-distinct sites (fractional):
Ac: 0.0000 0.0000 0.0000  4 Ag 3.37, 4 Tl 3.37
Tl: 0.2500 0.2500 0.2500  4 Ac 3.37, 4 Pb 3.37
Ag: 0.2500 0.2500 0.7500  4 Pb 3.37, 4 Ac 3.37
Pb: 0.0000 0.0000 0.5000  4 Tl 3.37, 4 Ag 3.37

Volume in Å³ per cell: 471.2
ΔE_f in eV/atom: -0.2187

=====

Entry 18:
A relaxed structure of Ac4TlAg2Pb. Source: Alexandria, functional PBE.

Cell lengths 5.7385, 5.7385, 28.2225 Å; angles 90.00, 90.00, 120.00 degrees
Closest atoms and distances in Å follow each position.
Space group R-3m (No. 166, hexagonal axes)
Symmetry-distinct sites (fractional):
Ac: 0.0000 0.0000 0.1246  1 Tl 3.52, 3 Pb 3.52, 4 Ag 3.54-3.63
Ac: 0.0000 0.0000 0.3748  4 Ag 3.43-3.49, 3 Tl 3.51, 1 Pb 3.53
Tl: 0.0000 0.0000 0.0000  8 Ac 3.51-3.52
Ag: 0.0000 0.0000 0.2533  8 Ac 3.43-3.63
Pb: 0.0000 0.0000 0.5000  8 Ac 3.52-3.53

Volume in Å³ per cell: 804.9
ΔE_f in eV/atom: -0.3553

=====

Entry 19:
A relaxed structure of AcTmAg2Pb2. Source: Alexandria, functional PBE.

Cell lengths 4.8985, 4.8985, 7.9055 Å; angles 90.00, 90.00, 120.00 degrees
Closest atoms and distances in Å follow each position.
Space group P-3m1 (No. 164)
Symmetry-distinct sites (fractional):
Ac: 0.0000 0.0000 0.0000  6 Pb 3.48, 6 Ag 3.86
Tm: 0.0000 0.0000 0.5000  6 Ag 3.12, 6 Pb 3.42
Ag: 0.3333 0.6667 0.6675  3 Pb 2.89, 3 Tm 3.12
Pb: 0.3333 0.6667 0.2571  3 Ag 2.89

Volume in Å³ per cell: 164.3
ΔE_f in eV/atom: -0.4037

=====

Entry 20:
A relaxed structure of AcTm2Ag2Pb2. Source: Alexandria, functional PBE.

Cell lengths 4.9758, 4.9758, 27.1871 Å; angles 90.00, 90.00, 120.00 degrees
Closest atoms and distances in Å follow each position.
Space group R-3m (No. 166, hexagonal axes)
Symmetry-distinct sites (fractional):
Ac: 0.0000 0.0000 0.0000  6 Pb 3.50, 2 Tm 3.69
Tm: 0.0000 0.0000 0.1359  3 Ag 2.94
Ag: 0.0000 0.0000 0.4460  1 Ag 2.94, 3 Tm 2.94, 3 Pb 3.06
Pb: 0.0000 0.0000 0.2595  3 Ag 3.06, 4 Tm 3.33-3.36

Volume in Å³ per cell: 582.9
ΔE_f in eV/atom: -0.3367